Record 1
Ba2LaH after structural relaxation. Source: Alexandria via LeMat-Bulk, functional PBE-GGA.

a b c (Å): 8.7509 8.7509 8.7509
angles (deg): 90.00 90.00 90.00
Space group Fm-3m (No. 225)
Inequivalent atoms, fractional coordinates:
Ba: 0.2500 0.2500 0.2500 [8 per cell]
La: 0.0000 0.0000 0.0000 [4 per cell]
H: 0.0000 0.0000 0.5000 [4 per cell]

Summary:
Crystal system: cubic
Distance to the lowest polymorph of the same formula: 678 meV per atom



Record 2
Ac2TbAs3Rh4 after structural relaxation. Source: Alexandria via LeMat-Bulk, functional PBE-GGA.

a b c (Å): 4.2594 4.2594 11.4870
angles (deg): 90.00 90.00 90.00
Space group P-4m2 (No. 115)
Inequivalent atoms, fractional coordinates:
Ac: 0.0000 0.5000 0.2312 [2 per cell]
Tb: 0.0000 0.0000 0.5000 [1 per cell]
As: 0.0000 0.5000 0.8763 [2 per cell]
As: 0.5000 0.5000 0.5000 [1 per cell]
Rh: 0.0000 0.0000 0.0000 [1 per cell]
Rh: 0.0000 0.5000 0.6579 [2 per cell]
Rh: 0.5000 0.5000 0.0000 [1 per cell]

Summary:
Crystal system: tetragonal
Formation energy: -944 meV per atom



Record 3
FeNiGe2 after structural relaxation. Source: Alexandria via LeMat-Bulk, functional PBE-GGA.

a b c (Å): 6.5893 6.5893 5.5218
angles (deg): 90.00 90.00 90.00
Space group I-42d (No. 122)
Inequivalent atoms, fractional coordinates:
Fe: 0.0000 0.0000 0.0000 [4 per cell]
Ni: 0.0000 0.0000 0.5000 [4 per cell]
Ge: 0.2342 0.2500 0.6250 [8 per cell]

Summary:
Crystal system: tetragonal
Formation energy: 304 meV per atom



Record 4
Pr3CdBi after structural relaxation. Source: Alexandria via LeMat-Bulk, functional PBE-GGA.

a b c (Å): 8.2153 16.2615 5.2398
angles (deg): 90.00 90.00 90.00
Space group Cmmm (No. 65)
Inequivalent atoms, fractional coordinates:
Pr: 0.0000 0.1637 0.0000 [4 per cell]
Pr: 0.1760 0.5000 0.5000 [4 per cell]
Pr: 0.2500 0.2500 0.5000 [4 per cell]
Cd: 0.0000 0.0856 0.5000 [4 per cell]
Bi: 0.0000 0.3668 0.0000 [4 per cell]

Summary:
Crystal system: orthorhombic
Formation energy: -132 meV per atom



Record 5
Mo3PtRh2 after structural relaxation. Source: Alexandria via LeMat-Bulk, functional PBE-GGA.

a b c (Å): 5.5306 8.8539 7.5439
angles (deg): 90.00 90.85 90.00
Space group C2/c (No. 15)
Inequivalent atoms, fractional coordinates:
Mo: 0.0000 0.1241 0.2500 [4 per cell]
Mo: 0.2292 0.1250 0.9233 [8 per cell]
Pt: 0.0000 0.3823 0.7500 [4 per cell]
Rh: 0.2462 0.3742 0.4124 [8 per cell]

Summary:
Crystal system: monoclinic
Formation energy: -59 meV per atom



Record 6
Tm3Sc4 after structural relaxation. Source: Alexandria via LeMat-Bulk, functional PBE-GGA.

a b c (Å): 3.3803 4.6877 23.6492
angles (deg): 90.00 90.00 90.00
Space group Immm (No. 71)
Inequivalent atoms, fractional coordinates:
Tm: 0.0000 0.0000 0.0000 [2 per cell]
Tm: 0.0000 0.0000 0.1438 [4 per cell]
Sc: 0.0000 0.0000 0.2840 [4 per cell]
Sc: 0.0000 0.0000 0.4278 [4 per cell]

Summary:
Crystal system: orthorhombic
Formation energy: 52 meV per atom



Record 7
PmHfVN3 after structural relaxation. Source: Alexandria via LeMat-Bulk, functional PBE-GGA.

a b c (Å): 6.8990 3.3535 8.0557
angles (deg): 90.00 104.54 90.00
Space group P2_1/m (No. 11)
Inequivalent atoms, fractional coordinates:
Pm: 0.1857 0.2500 0.1655 [2 per cell]
Hf: 0.3433 0.7500 0.8565 [2 per cell]
V: 0.0684 0.2500 0.6133 [2 per cell]
N: 0.1118 0.2500 0.8609 [2 per cell]
N: 0.1818 0.7500 0.5713 [2 per cell]
N: 0.4389 0.7500 0.1374 [2 per cell]

Summary:
Crystal system: monoclinic
ΔE_f (raw): -732 kJ/mol of formula units



Record 8
BaAc2Sn after structural relaxation. Source: Alexandria via LeMat-Bulk, functional PBE-GGA.

a b c (Å): 8.5292 8.5292 8.5292
angles (deg): 90.00 90.00 90.00
Space group Fm-3m (No. 225)
Inequivalent atoms, fractional coordinates:
Ba: 0.0000 0.0000 0.0000 [4 per cell]
Ac: 0.2500 0.2500 0.2500 [8 per cell]
Sn: 0.0000 0.0000 0.5000 [4 per cell]

Summary:
Crystal system: cubic
Distance to the lowest polymorph of the same formula: 215 meV per atom
Formation energy: -105 meV per atom



Record 9
YRuS3 after structural relaxation. Source: Alexandria via LeMat-Bulk, functional PBE-GGA.

a b c (Å): 4.6464 4.6464 4.6464
angles (deg): 90.00 90.00 90.00
Space group Pm-3m (No. 221)
Inequivalent atoms, fractional coordinates:
Y: 0.0000 0.0000 0.0000 [1 per cell]
Ru: 0.5000 0.5000 0.5000 [1 per cell]
S: 0.0000 0.5000 0.5000 [3 per cell]

Summary:
Crystal system: cubic
Distance to the lowest polymorph of the same formula: 0 meV per atom
ΔE_f (raw): -259 kJ/mol of formula units



Record 10
Dy2Ga6CoRu after structural relaxation. Source: Alexandria via LeMat-Bulk, functional PBE-GGA.

a b c (Å): 9.2395 9.2395 9.2395
angles (deg): 90.00 90.00 90.00
Space group Fm-3m (No. 225)
Inequivalent atoms, fractional coordinates:
Dy: 0.2500 0.2500 0.2500 [8 per cell]
Ga: 0.0000 0.0000 0.2426 [24 per cell]
Co: 0.0000 0.0000 0.0000 [4 per cell]
Ru: 0.0000 0.0000 0.5000 [4 per cell]

Summary:
Crystal system: cubic
Formation energy: -301 meV per atom



Record 11
Sc2ZnI after structural relaxation. Source: Alexandria via LeMat-Bulk, functional PBE-GGA.

a b c (Å): 4.2499 4.2499 24.2040
angles (deg): 90.00 90.00 120.00
Space group R-3m (No. 166, hexagonal axes)
Inequivalent atoms, fractional coordinates:
Sc: 0.0000 0.0000 0.1175 [6 per cell]
Zn: 0.0000 0.0000 0.5000 [3 per cell]
I: 0.0000 0.0000 0.0000 [3 per cell]

Summary:
Crystal system: trigonal
Distance to the lowest polymorph of the same formula: 0 meV per atom
ΔE_f (raw): -79 kJ/mol of formula units



Record 12
CeCoCl after structural relaxation. Source: Alexandria via LeMat-Bulk, functional PBE-GGA.

a b c (Å): 4.0003 4.0003 31.7424
angles (deg): 90.00 90.00 120.00
Space group R-3m (No. 166, hexagonal axes)
Inequivalent atoms, fractional coordinates:
Ce: 0.0000 0.0000 0.0585 [6 per cell]
Co: 0.0000 0.0000 0.3404 [6 per cell]
Cl: 0.0000 0.0000 0.2191 [6 per cell]

Summary:
Crystal system: trigonal
ΔE_f (raw): -308 kJ/mol of formula units



Record 13
BaNaPrBr6 after structural relaxation. Source: Alexandria via LeMat-Bulk, functional PBE-GGA.

a b c (Å): 7.6290 7.6290 14.0006
angles (deg): 90.00 90.00 120.00
Space group P-31c (No. 163)
Inequivalent atoms, fractional coordinates:
Ba: 0.0000 0.0000 0.0000 [2 per cell]
Na: 0.3333 0.6667 0.2500 [2 per cell]
Pr: 0.3333 0.6667 0.7500 [2 per cell]
Br: 0.0077 0.3592 0.6313 [12 per cell]

Summary:
Crystal system: trigonal
ΔE_f (raw): -1649 kJ/mol of formula units



Record 14
Pu3TcPb after structural relaxation. Source: Alexandria via LeMat-Bulk, functional PBE-GGA.

a b c (Å): 5.2039 5.2039 5.2039
angles (deg): 90.00 90.00 90.00
Space group Pm-3m (No. 221)
Inequivalent atoms, fractional coordinates:
Pu: 0.0000 0.0000 0.5000 [3 per cell]
Tc: 0.0000 0.0000 0.0000 [1 per cell]
Pb: 0.5000 0.5000 0.5000 [1 per cell]

Summary:
Crystal system: cubic
Distance to the lowest polymorph of the same formula: 111 meV per atom
Formation energy: 121 meV per atom



Record 15
Hf6Zn5Au after structural relaxation. Source: Alexandria via LeMat-Bulk, functional PBE-GGA.

a b c (Å): 4.7169 6.6129 14.1318
angles (deg): 90.00 90.00 90.00
Space group Immm (No. 71)
Inequivalent atoms, fractional coordinates:
Hf: 0.0000 0.2435 0.0000 [4 per cell]
Hf: 0.0000 0.2531 0.3314 [8 per cell]
Zn: 0.0000 0.0000 0.1676 [4 per cell]
Zn: 0.0000 0.5000 0.1656 [4 per cell]
Zn: 0.0000 0.5000 0.5000 [2 per cell]
Au: 0.0000 0.0000 0.5000 [2 per cell]

Summary:
Crystal system: orthorhombic
Formation energy: -210 meV per atom



Record 16
Pm5NdPb4 after structural relaxation. Source: Alexandria via LeMat-Bulk, functional PBE-GGA.

a b c (Å): 16.6873 5.5326 7.3549
angles (deg): 90.00 90.17 90.00
Space group C2/m (No. 12)
Inequivalent atoms, fractional coordinates:
Pm: 0.0000 0.0000 0.0000 [2 per cell]
Pm: 0.1664 0.5000 0.0086 [4 per cell]
Pm: 0.1662 0.5000 0.4921 [4 per cell]
Nd: 0.0000 0.0000 0.5000 [2 per cell]
Pb: 0.0091 0.5000 0.7512 [4 per cell]
Pb: 0.1766 0.0000 0.2494 [4 per cell]

Summary:
Crystal system: monoclinic
Formation energy: -387 meV per atom